(1)
## CaLaPr2In4 (PBE)

Data for a relaxed structure of CaLaPr2In4.

Values from the calculation:
calculated formation energy: -488 meV/atom
N(E_F): 0.54 states/eV/atom

Structure (CIF):
```
data_CaLaPr2In4
_chemical_formula_sum 'Ca3 La3 Pr6 In12'
_cell_length_a 5.5059
_cell_length_b 5.5059
_cell_length_c 27.2910
_cell_angle_alpha 90.00
_cell_angle_beta 90.00
_cell_angle_gamma 120.00
_space_group_name_H-M_alt 'R -3 m'
_space_group_IT_number 166
_space_group_name_Hall '-R 3 2"'
loop_
_atom_site_label
_atom_site_type_symbol
_atom_site_fract_x
_atom_site_fract_y
_atom_site_fract_z
Ca1 Ca 0.0000 0.0000 0.0000
La1 La 0.0000 0.0000 0.5000
Pr1 Pr 0.0000 0.0000 0.2536
In1 In 0.0000 0.0000 0.1252
In2 In 0.0000 0.0000 0.3752
```

(2)
## K2TaCd (PBE)

Data for a relaxed structure of K2TaCd.

Values from the calculation:
calculated formation energy: 1234 meV/atom
N(E_F): 1.31 states/eV/atom

Structure (CIF):
```
data_K2TaCd
_chemical_formula_sum 'K4 Ta2 Cd2'
_cell_length_a 5.687
_cell_length_b 5.687
_cell_length_c 7.997
_cell_angle_alpha 90.00
_cell_angle_beta 90.00
_cell_angle_gamma 90.00
_space_group_name_H-M_alt 'I -4 m 2'
_space_group_IT_number 119
_space_group_name_Hall 'I -4 -2'
loop_
_atom_site_label
_atom_site_type_symbol
_atom_site_fract_x
_atom_site_fract_y
_atom_site_fract_z
K1 K 0.000 0.000 0.000
K2 K 0.000 0.500 0.250
Ta1 Ta 0.000 0.000 0.500
Cd1 Cd 0.000 0.500 0.750
```